1.
NaSeF3 | PBE | optimized geometry

Calculated values
Space group: P-1
Excess energy over the best structure of this formula in the dataset (meV/atom): 0
D(E_F) (states/eV/atom): 0.00

a b c (Å): 7.388 6.887 6.587
angles (deg): 44.90 41.60 60.00
Fractional positions:
Na 0.501 0.372 0.817
Na 0.499 0.628 0.183
Se 0.969 0.989 0.224
Se 0.031 0.011 0.776
F 0.731 0.653 0.652
F 0.819 0.665 0.157
F 0.702 0.085 0.586
F 0.269 0.347 0.348
F 0.181 0.335 0.843
F 0.298 0.915 0.414

2.
Na2SeF | PBE | optimized geometry

Calculated values
Space group: I-42d
Excess energy over the best structure of this formula in the dataset (meV/atom): 105
D(E_F) (states/eV/atom): 0.11

a b c (Å): 6.638 6.638 6.143
angles (deg): 57.30 57.30 90.00
Each line ends with the local moment (μB).
Fractional positions:
Na 0.532 0.125 0.250  0.00
Na 0.218 0.625 0.250  0.00
Na 0.375 0.468 0.750  0.00
Na 0.875 0.782 0.750  0.00
Se 0.000 0.000 0.000  0.59
Se 0.750 0.250 0.500  0.59
F 0.500 0.500 0.000  0.01
F 0.250 0.750 0.500  0.01

3.
NaSeF6 | PBE | optimized geometry

Calculated values
Space group: C2/m
Excess energy over the best structure of this formula in the dataset (meV/atom): 20
D(E_F) (states/eV/atom): 0.26

a b c (Å): 5.068 5.629 5.045
angles (deg): 56.09 83.62 78.52
Each line ends with the local moment (μB).
Fractional positions:
Na 0.000 0.000 0.000  0.00
Se 0.500 0.500 0.000  0.18
F 0.731 0.488 0.694  0.12
F 0.731 0.182 0.306  0.12
F 0.269 0.818 0.694  0.12
F 0.269 0.512 0.306  0.12
F 0.690 0.749 0.000  0.11
F 0.310 0.251 0.000  0.11

4.
Na2SnSeF | PBE | optimized geometry

Calculated values
Space group: P4/mmm
D(E_F) (states/eV/atom): 0.49
Total energy (eV/atom): -3.095

a b c (Å): 5.419 5.644 5.419
angles (deg): 90.00 90.00 90.00
Fractional positions:
Na 0.000 0.000 0.500
Na 0.500 0.000 0.000
Sn 0.000 0.500 0.000
Se 0.000 0.000 0.000
F 0.500 0.500 0.500

5.
Na2TlSeF | PBE | optimized geometry

Calculated values
Space group: P4/mmm
Total energy (eV/atom): -3.404

a b c (Å): 4.709 4.709 5.207
angles (deg): 90.00 90.00 90.00
Fractional positions:
Na 0.000 0.500 0.000
Na 0.500 0.000 0.000
Tl 0.000 0.000 0.500
Se 0.500 0.500 0.500
F 0.000 0.000 0.000

6.
NaYSeF2 | PBE | optimized geometry

Calculated values
Space group: P4/mmm
Excess energy over the best structure of this formula in the dataset (meV/atom): 0
D(E_F) (states/eV/atom): 0.00

a b c (Å): 4.399 4.399 5.691
angles (deg): 90.00 90.00 90.00
Fractional positions:
Y 0.000 0.000 0.000
Na 0.500 0.500 0.500
Se 0.000 0.000 0.500
F 0.000 0.500 0.000
F 0.500 0.000 0.000

7.
NaYSeF2 | PBE | optimized geometry

Calculated values
Space group: P4/mmm
Excess energy over the best structure of this formula in the dataset (meV/atom): 2291
D(E_F) (states/eV/atom): 0.48

a b c (Å): 4.719 5.153 4.719
angles (deg): 90.00 90.00 90.00
Fractional positions:
Y 0.500 0.500 0.500
Na 0.000 0.500 0.000
Se 0.000 0.000 0.000
F 0.000 0.000 0.500
F 0.500 0.000 0.000

8.
Na2SiF6 | PBE | optimized geometry

Calculated values
Space group: P321
D(E_F) (states/eV/atom): 0.00
Total energy (eV/atom): -4.698

a b c (Å): 3.814 5.717 5.717
angles (deg): 120.00 90.00 90.00
Fractional positions:
Na 0.377 0.333 0.667
Na 0.623 0.667 0.333
Si 0.000 0.000 0.000
F 0.500 0.258 0.000
F 0.500 0.000 0.258
F 0.500 0.742 0.742
F 0.000 0.284 0.284
F 0.000 0.000 0.716
F 0.000 0.716 0.000

9.
Na2SiF6 | PBE | optimized geometry

Calculated values
Space group: P4_2/mnm
D(E_F) (states/eV/atom): 0.00
Total energy (eV/atom): -5.223

a b c (Å): 4.896 4.896 9.659
angles (deg): 90.00 90.00 90.00
Fractional positions:
Na 0.000 0.000 0.338
Na 0.500 0.500 0.838
Na 0.500 0.500 0.162
Na 0.000 0.000 0.662
Si 0.000 0.000 0.000
Si 0.500 0.500 0.500
F 0.327 0.327 0.372
F 0.673 0.673 0.372
F 0.173 0.827 0.872
F 0.827 0.173 0.872
F 0.173 0.827 0.128
F 0.827 0.173 0.128
F 0.327 0.327 0.628
F 0.673 0.673 0.628
F 0.248 0.248 0.000
F 0.752 0.752 0.000
F 0.252 0.748 0.500
F 0.748 0.252 0.500

10.
NaSiF2 | PBE | optimized geometry

Calculated values
Space group: R-3m
Excess energy over the best structure of this formula in the dataset (meV/atom): 0
D(E_F) (states/eV/atom): 0.11

a b c (Å): 6.816 6.816 6.816
angles (deg): 25.87 25.87 25.87
Fractional positions:
Na 0.500 0.500 0.500
Si 0.000 0.000 0.000
F 0.902 0.902 0.902
F 0.098 0.098 0.098

11.
Na2SiF6 | PBE | optimized geometry

Calculated values
Space group: P-3m1
D(E_F) (states/eV/atom): 0.00
Total energy (eV/atom): -5.176

a b c (Å): 9.335 9.335 4.564
angles (deg): 90.00 90.00 120.00
Fractional positions:
Na 0.343 0.343 0.000
Na 0.000 0.657 0.000
Na 0.657 0.000 0.000
Na 0.657 0.657 0.000
Na 0.000 0.343 0.000
Na 0.343 0.000 0.000
Si 0.667 0.333 0.499
Si 0.333 0.667 0.501
Si 0.000 0.000 0.000
F 0.579 0.421 0.716
F 0.579 0.158 0.716
F 0.842 0.421 0.716
F 0.158 0.579 0.284
F 0.421 0.842 0.284
F 0.421 0.579 0.284
F 0.754 0.246 0.284
F 0.754 0.509 0.284
F 0.491 0.246 0.284
F 0.088 0.912 0.210
F 0.088 0.177 0.210
F 0.823 0.912 0.210
F 0.177 0.088 0.790
F 0.912 0.823 0.790
F 0.912 0.088 0.790
F 0.246 0.754 0.716
F 0.246 0.491 0.716
F 0.509 0.754 0.716

12.
NaSi2F8 | PBE | optimized geometry

Calculated values
Space group: C2/m
Excess energy over the best structure of this formula in the dataset (meV/atom): 27
D(E_F) (states/eV/atom): 0.17

a b c (Å): 5.927 6.073 6.073
angles (deg): 54.05 77.94 77.94
Fractional positions:
Na 0.000 0.000 0.000
Si 0.661 0.799 0.799
Si 0.339 0.201 0.201
F 0.219 0.367 0.920
F 0.781 0.080 0.633
F 0.390 0.881 0.881
F 0.610 0.119 0.119
F 0.219 0.920 0.367
F 0.781 0.633 0.080
F 0.771 0.647 0.647
F 0.229 0.353 0.353

13.
NaSi2F8 | PBE | optimized geometry

Calculated values
Space group: P-3m1
Excess energy over the best structure of this formula in the dataset (meV/atom): 0
D(E_F) (states/eV/atom): 0.17

a b c (Å): 4.799 6.489 6.489
angles (deg): 120.03 90.00 90.00
Fractional positions:
Na 0.000 0.000 0.000
Si 0.333 0.333 0.667
Si 0.667 0.667 0.333
F 0.331 0.667 0.333
F 0.669 0.333 0.667
F 0.775 0.803 0.197
F 0.225 0.197 0.393
F 0.225 0.607 0.803
F 0.225 0.197 0.803
F 0.775 0.803 0.607
F 0.775 0.393 0.197

14.
NaSiF2 | PBE | optimized geometry

Calculated values
Space group: Fm-3m
Excess energy over the best structure of this formula in the dataset (meV/atom): 821
D(E_F) (states/eV/atom): 0.46

a b c (Å): 4.305 4.305 4.305
angles (deg): 60.00 60.00 60.00
Each line ends with the local moment (μB).
Fractional positions:
Na 0.000 0.000 0.000  0.02
Si 0.500 0.500 0.500  0.23
F 0.250 0.250 0.250  0.04
F 0.750 0.750 0.750  0.04

15.
Na6SiF12 | PBE | optimized geometry

Calculated values
Space group: R-3
D(E_F) (states/eV/atom): 0.41
Total energy (eV/atom): -4.471

a b c (Å): 6.438 6.438 6.438
angles (deg): 98.58 98.58 98.58
Each line ends with the local moment (μB).
Fractional positions:
Na 0.150 0.282 0.600  0.00
Na 0.718 0.400 0.850  0.00
Na 0.400 0.850 0.718  0.00
Na 0.850 0.718 0.400  0.00
Na 0.282 0.600 0.150  0.00
Na 0.600 0.150 0.282  0.00
Si 0.000 0.000 0.000  0.00
F 0.462 0.162 0.591  0.30
F 0.162 0.591 0.462  0.30
F 0.591 0.462 0.162  0.30
F 0.538 0.838 0.409  0.30
F 0.838 0.409 0.538  0.30
F 0.409 0.538 0.838  0.30
F 0.005 0.952 0.730  0.00
F 0.270 0.995 0.048  0.00
F 0.048 0.270 0.995  0.00
F 0.995 0.048 0.270  0.00
F 0.730 0.005 0.952  0.00
F 0.952 0.730 0.005  0.00

16.
Na3SiF7 | PBE | optimized geometry

Calculated values
Space group: Cm
D(E_F) (states/eV/atom): 0.00
Total energy (eV/atom): -5.023

a b c (Å): 5.296 5.296 5.536
angles (deg): 84.48 84.48 89.69
Each line ends with the local moment (μB).
Fractional positions:
Na 0.622 0.125 0.541  0.00
Na 0.554 0.554 0.059  0.00
Na 0.125 0.622 0.541  0.00
Si 0.044 0.044 0.955  0.00
F 0.251 0.251 0.045  0.00
F 0.807 0.133 0.159  0.00
F 0.948 0.274 0.741  0.00
F 0.133 0.807 0.159  0.00
F 0.531 0.531 0.462  0.10
F 0.274 0.948 0.741  0.00
F 0.837 0.837 0.845  0.00

17.
NaSiF2 | PBE | optimized geometry

Calculated values
Space group: I-42d
Excess energy over the best structure of this formula in the dataset (meV/atom): 577
D(E_F) (states/eV/atom): 0.08

a b c (Å): 6.043 6.043 5.513
angles (deg): 56.77 56.77 90.00
Each line ends with the local moment (μB).
Fractional positions:
Na 0.500 0.500 0.000  0.01
Na 0.250 0.750 0.500  0.01
Si 0.000 0.000 0.000  0.27
Si 0.750 0.250 0.500  0.26
F 0.619 0.125 0.250  0.06
F 0.131 0.625 0.250  0.06
F 0.375 0.381 0.750  0.06
F 0.875 0.869 0.750  0.06

18.
Na2SiF6 | PBE | optimized geometry

Calculated values
Space group: P2_1/c
D(E_F) (states/eV/atom): 0.00
Total energy (eV/atom): -5.226

a b c (Å): 5.476 5.652 8.069
angles (deg): 90.00 93.65 90.00
Fractional positions:
Na 0.967 0.441 0.767
Na 0.533 0.941 0.733
Na 0.467 0.059 0.267
Na 0.033 0.559 0.233
Si 0.500 0.500 0.000
Si 0.000 0.000 0.500
F 0.854 0.904 0.318
F 0.873 0.769 0.604
F 0.749 0.671 0.960
F 0.751 0.171 0.540
F 0.627 0.269 0.896
F 0.646 0.404 0.182
F 0.146 0.096 0.682
F 0.127 0.231 0.396
F 0.251 0.329 0.040
F 0.249 0.829 0.460
F 0.373 0.731 0.104
F 0.354 0.596 0.818

19.
Na2SiF6 | PBE | optimized geometry

Calculated values
Space group: P321
D(E_F) (states/eV/atom): 0.00
Total energy (eV/atom): -5.236

a b c (Å): 9.005 9.005 5.104
angles (deg): 90.00 90.00 120.00
Fractional positions:
Na 0.000 0.287 0.500
Na 0.287 0.000 0.500
Na 0.713 0.713 0.500
Na 0.000 0.625 0.000
Na 0.625 0.000 0.000
Na 0.375 0.375 0.000
Si 0.667 0.333 0.493
Si 0.333 0.667 0.507
Si 0.000 0.000 0.000
F 0.740 0.227 0.687
F 0.773 0.513 0.687
F 0.487 0.260 0.687
F 0.513 0.773 0.313
F 0.260 0.487 0.313
F 0.227 0.740 0.313
F 0.597 0.442 0.299
F 0.558 0.154 0.299
F 0.846 0.403 0.299
F 0.085 0.904 0.808
F 0.096 0.181 0.808
F 0.819 0.915 0.808
F 0.181 0.096 0.192
F 0.915 0.819 0.192
F 0.904 0.085 0.192
F 0.442 0.597 0.701
F 0.403 0.846 0.701
F 0.154 0.558 0.701

20.
Na2SrSiF8 | PBE | optimized geometry

Calculated values
Space group: P2/m
D(E_F) (states/eV/atom): 0.00
Total energy (eV/atom): -5.273

a b c (Å): 4.631 5.291 7.026
angles (deg): 90.00 90.00 88.92
Fractional positions:
Na 0.500 0.500 0.760
Na 0.500 0.500 0.240
Sr 0.000 0.000 0.500
Si 0.000 0.000 0.000
F 0.170 0.825 0.177
F 0.731 0.784 0.000
F 0.830 0.175 0.177
F 0.830 0.175 0.823
F 0.269 0.216 0.000
F 0.170 0.825 0.823
F 0.609 0.732 0.500
F 0.391 0.268 0.500

21.
NaSr2SiF | PBE | optimized geometry

Calculated values
Space group: P4/mmm
D(E_F) (states/eV/atom): 0.10
Total energy (eV/atom): -3.625

a b c (Å): 5.166 5.166 4.599
angles (deg): 90.00 90.00 90.00
Fractional positions:
Sr 0.000 0.500 0.000
Sr 0.500 0.000 0.000
Si 0.500 0.500 0.500
F 0.000 0.000 0.000
Na 0.000 0.000 0.500

22.
NaTa2SiF | PBE | optimized geometry

Calculated values
Space group: P4/mmm
D(E_F) (states/eV/atom): 1.07
Total energy (eV/atom): -6.039

a b c (Å): 4.187 5.103 4.187
angles (deg): 90.00 90.00 90.00
Fractional positions:
Na 0.500 0.500 0.500
Si 0.000 0.500 0.000
F 0.000 0.000 0.000
Ta 0.000 0.000 0.500
Ta 0.500 0.000 0.000